No. 1
First-principles (PBE-GGA) data for an optimized crystal structure of Y2Zr, as listed in Alexandria via LeMat-Bulk.

a = 5.366 Å, b = 5.366 Å, c = 6.901 Å
α = 90.00°, β = 90.00°, γ = 120.00°
Element x y z (fractional)
Y 0.000 0.000 0.000
Y 0.000 0.000 0.500
Y 0.333 0.667 0.250
Y 0.667 0.333 0.750
Zr 0.333 0.667 0.750
Zr 0.667 0.333 0.250

V, Å³ per atom: 28.680
SG: P6_3/mmc, No. 194
ΔH_f (0 K), eV/atom: 0.143
D(E_F), states/eV/cell: 12.05
Total magnetization, μB per formula unit: 0.00


No. 2
First-principles (PBE-GGA) data for an optimized crystal structure of InFeSn2, as listed in Alexandria via LeMat-Bulk.

a = 9.359 Å, b = 9.359 Å, c = 9.359 Å
α = 149.92°, β = 149.92°, γ = 43.06°
Element x y z (fractional)
In 0.000 0.000 0.000
In 0.750 0.250 0.500
Fe 0.250 0.750 0.500
Fe 0.500 0.500 0.000
Sn 0.190 0.625 0.065
Sn 0.375 0.440 0.565
Sn 0.560 0.125 0.935
Sn 0.875 0.810 0.435

V, Å³ per atom: 25.670
SG: I-42d, No. 122
ΔH_f (0 K), eV/atom: 0.401
D(E_F), states/eV/cell: 5.81
Total magnetization, μB per formula unit: 2.75


No. 3
First-principles (PBE-GGA) data for an optimized crystal structure of PaGaH2, as listed in Alexandria via LeMat-Bulk.

a = 7.409 Å, b = 4.543 Å, c = 5.998 Å
α = 90.00°, β = 90.00°, γ = 90.00°
Element x y z (fractional)
Pa 0.180 0.250 0.149
Pa 0.320 0.750 0.649
Pa 0.680 0.250 0.351
Pa 0.820 0.750 0.851
Ga 0.031 0.250 0.619
Ga 0.469 0.750 0.119
Ga 0.531 0.250 0.881
Ga 0.969 0.750 0.381
H 0.099 0.540 0.859
H 0.099 0.960 0.859
H 0.401 0.040 0.359
H 0.401 0.460 0.359
H 0.599 0.540 0.641
H 0.599 0.960 0.641
H 0.901 0.040 0.141
H 0.901 0.460 0.141

V, Å³ per atom: 12.618
SG: Pnma, No. 62
D(E_F), states/eV/cell: 12.62
DFT total energy, eV/f.u.: -20.3
Total magnetization, μB per formula unit: 0.00


No. 4
First-principles (PBE-GGA) data for an optimized crystal structure of Ba2CdAg3Sn4, as listed in Alexandria via LeMat-Bulk.

a = 4.827 Å, b = 4.827 Å, c = 11.984 Å
α = 90.00°, β = 90.00°, γ = 90.00°
Element x y z (fractional)
Ba 0.000 0.500 0.249
Ba 0.500 0.000 0.751
Cd 0.500 0.500 0.000
Ag 0.000 0.000 0.000
Ag 0.000 0.500 0.633
Ag 0.500 0.000 0.367
Sn 0.000 0.000 0.500
Sn 0.000 0.500 0.865
Sn 0.500 0.000 0.135
Sn 0.500 0.500 0.500

V, Å³ per atom: 27.922
SG: P-4m2, No. 115
ΔH_f (0 K), eV/atom: -0.399
D(E_F), states/eV/cell: 4.61
Total magnetization, μB per formula unit: 0.00


No. 5
First-principles (PBE-GGA) data for an optimized crystal structure of Ho2TmPaTc2, as listed in Alexandria via LeMat-Bulk.

a = 8.659 Å, b = 8.659 Å, c = 8.659 Å
α = 137.53°, β = 61.92°, γ = 137.15°
Element x y z (fractional)
Ho 0.186 0.212 0.398
Ho 0.314 0.712 0.026
Ho 0.686 0.288 0.974
Ho 0.814 0.788 0.602
Tm 0.250 0.250 0.000
Tm 0.750 0.750 0.000
Pa 0.250 0.750 0.500
Pa 0.750 0.250 0.500
Tc 0.117 0.679 0.796
Tc 0.383 0.179 0.562
Tc 0.617 0.821 0.438
Tc 0.883 0.321 0.204

V, Å³ per atom: 24.554
SG: Ibam, No. 72
ΔH_f (0 K), eV/atom: -0.071
D(E_F), states/eV/cell: 10.19
Total magnetization, μB per formula unit: 0.00


No. 6
First-principles (PBE-GGA) data for an optimized crystal structure of CaNiAu2Se, as listed in Alexandria via LeMat-Bulk.

a = 4.982 Å, b = 4.982 Å, c = 5.382 Å
α = 90.00°, β = 90.00°, γ = 90.00°
Element x y z (fractional)
Ca 0.000 0.000 0.000
Ni 0.500 0.500 0.000
Au 0.000 0.500 0.500
Au 0.500 0.000 0.500
Se 0.000 0.000 0.500

V, Å³ per atom: 26.717
SG: P4/mmm, No. 123
D(E_F), states/eV/cell: 4.26
Total magnetization, μB per formula unit: 0.00
Formation energy (no corrections), eV/f.u.: 1.93


No. 7
First-principles (PBE-GGA) data for an optimized crystal structure of CsBa2SnS, as listed in Alexandria via LeMat-Bulk.

a = 6.714 Å, b = 6.714 Å, c = 5.847 Å
α = 90.00°, β = 90.00°, γ = 90.00°
Element x y z (fractional)
Cs 0.000 0.000 0.000
Ba 0.000 0.500 0.500
Ba 0.500 0.000 0.500
Sn 0.500 0.500 0.500
S 0.500 0.500 0.000

V, Å³ per atom: 52.713
SG: P4/mmm, No. 123
D(E_F), states/eV/cell: 5.92
Total magnetization, μB per formula unit: 0.00
Formation energy (no corrections), eV/f.u.: -0.64


No. 8
First-principles (PBE-GGA) data for an optimized crystal structure of Sc6HgRh2, as listed in Alexandria via LeMat-Bulk.

a = 7.920 Å, b = 7.920 Å, c = 7.920 Å
α = 112.41°, β = 112.11°, γ = 104.02°
Element x y z (fractional)
Sc 0.037 0.241 0.796
Sc 0.185 0.287 0.472
Sc 0.185 0.713 0.898
Sc 0.329 0.031 0.702
Sc 0.329 0.626 0.298
Sc 0.445 0.241 0.204
Sc 0.555 0.759 0.796
Sc 0.671 0.374 0.702
Sc 0.671 0.969 0.298
Sc 0.815 0.287 0.102
Sc 0.815 0.713 0.528
Sc 0.963 0.759 0.204
Hg 0.000 0.000 0.000
Hg 0.500 0.500 0.000
Rh 0.137 0.637 0.500
Rh 0.338 0.000 0.338
Rh 0.662 0.000 0.662
Rh 0.863 0.363 0.500

V, Å³ per atom: 21.101
SG: Immm, No. 71
ΔH_f (0 K), eV/atom: -0.567
D(E_F), states/eV/cell: 19.61
Total magnetization, μB per formula unit: 0.00


No. 9
First-principles (PBE-GGA) data for an optimized crystal structure of Rb3TeF8, as listed in Alexandria via LeMat-Bulk.

a = 6.968 Å, b = 6.968 Å, c = 6.968 Å
α = 122.25°, β = 122.25°, γ = 86.14°
Element x y z (fractional)
Rb 0.000 0.000 0.000
Rb 0.250 0.750 0.500
Rb 0.750 0.250 0.500
Te 0.500 0.500 0.000
F 0.201 0.201 0.734
F 0.226 0.647 0.000
F 0.353 0.353 0.579
F 0.466 0.466 0.266
F 0.534 0.799 0.000
F 0.647 0.226 0.000
F 0.774 0.774 0.421
F 0.799 0.534 0.000

V, Å³ per atom: 19.209
SG: I-42m, No. 121
D(E_F), states/eV/cell: 3.84
Total magnetization, μB per formula unit: 0.78
Formation energy (no corrections), eV/f.u.: -28.74


No. 10
First-principles (PBE-GGA) data for an optimized crystal structure of ZrTi5Ga3, as listed in Alexandria via LeMat-Bulk.

a = 8.319 Å, b = 8.319 Å, c = 8.319 Å
α = 131.73°, β = 131.73°, γ = 70.66°
Element x y z (fractional)
Zr 0.250 0.750 0.500
Zr 0.750 0.250 0.500
Ti 0.000 0.000 0.000
Ti 0.078 0.578 0.925
Ti 0.153 0.078 0.500
Ti 0.347 0.847 0.925
Ti 0.422 0.347 0.500
Ti 0.500 0.500 0.000
Ti 0.578 0.653 0.500
Ti 0.653 0.153 0.075
Ti 0.847 0.922 0.500
Ti 0.922 0.422 0.075
Ga 0.119 0.381 0.500
Ga 0.250 0.250 0.000
Ga 0.381 0.881 0.263
Ga 0.619 0.119 0.737
Ga 0.750 0.750 0.000
Ga 0.881 0.619 0.500

V, Å³ per atom: 17.453
SG: I4/mcm, No. 140
ΔH_f (0 K), eV/atom: -0.031
D(E_F), states/eV/cell: 15.69
Total magnetization, μB per formula unit: 0.00


No. 11
First-principles (PBE-GGA) data for an optimized crystal structure of RbS, as listed in Alexandria via LeMat-Bulk.

a = 11.366 Å, b = 11.366 Å, c = 4.709 Å
α = 90.00°, β = 90.00°, γ = 120.00°
Element x y z (fractional)
Rb 0.215 0.429 0.250
Rb 0.215 0.785 0.250
Rb 0.429 0.215 0.750
Rb 0.571 0.785 0.250
Rb 0.785 0.215 0.750
Rb 0.785 0.571 0.750
S 0.038 0.519 0.750
S 0.481 0.519 0.750
S 0.481 0.962 0.750
S 0.519 0.038 0.250
S 0.519 0.481 0.250
S 0.962 0.481 0.250

V, Å³ per atom: 43.902
SG: P6_3/mmc, No. 194
D(E_F), states/eV/cell: 7.63
Total magnetization, μB per formula unit: 0.03
Formation energy (no corrections), eV/f.u.: -1.32


No. 12
First-principles (PBE-GGA) data for an optimized crystal structure of HoPaGaGe, as listed in Alexandria via LeMat-Bulk.

a = 5.031 Å, b = 5.031 Å, c = 5.031 Å
α = 60.00°, β = 60.00°, γ = 60.00°
Element x y z (fractional)
Ho 0.000 0.000 0.000
Pa 0.500 0.500 0.500
Ga 0.250 0.250 0.250
Ge 0.750 0.750 0.750

V, Å³ per atom: 22.513
SG: F-43m, No. 216
ΔH_f (0 K), eV/atom: -0.350
D(E_F), states/eV/cell: 6.46
Total magnetization, μB per formula unit: 1.62


No. 13
First-principles (PBE-GGA) data for an optimized crystal structure of CsCaHgBi, as listed in Alexandria via LeMat-Bulk.

a = 5.959 Å, b = 5.959 Å, c = 5.959 Å
α = 60.00°, β = 60.00°, γ = 60.00°
Element x y z (fractional)
Cs 0.000 0.000 0.000
Ca 0.500 0.500 0.500
Hg 0.250 0.250 0.250
Bi 0.750 0.750 0.750

V, Å³ per atom: 37.404
SG: F-43m, No. 216
ΔH_f (0 K), eV/atom: -0.394
Total magnetization, μB per formula unit: 0.00


No. 14
First-principles (PBE-GGA) data for an optimized crystal structure of K3Y2PbS6, as listed in Alexandria via LeMat-Bulk.

a = 7.100 Å, b = 7.100 Å, c = 7.756 Å
α = 98.77°, β = 98.77°, γ = 119.99°
Element x y z (fractional)
K 0.000 0.000 0.000
K 0.337 0.663 0.000
K 0.663 0.337 0.000
Y 0.167 0.833 0.500
Y 0.833 0.167 0.500
Pb 0.500 0.500 0.500
S 0.087 0.431 0.295
S 0.224 0.224 0.705
S 0.431 0.087 0.295
S 0.569 0.913 0.705
S 0.776 0.776 0.295
S 0.913 0.569 0.705

V, Å³ per atom: 26.872
SG: C2/m, No. 12
D(E_F), states/eV/cell: 4.69
Total magnetization, μB per formula unit: 0.00
Formation energy (no corrections), eV/f.u.: -17.61